# 1
A relaxed RbPaAs2O6 crystal, computed with PBE.

abc: 7.544 7.544 7.544
angles: 44.34 44.34 44.34
Fractional coordinates of all 10 atoms:
Rb 0.000 0.000 0.000
Pa 0.500 0.500 0.500
As 0.267 0.267 0.267
As 0.733 0.733 0.733
O 0.087 0.694 0.535
O 0.306 0.465 0.913
O 0.465 0.913 0.306
O 0.535 0.087 0.694
O 0.694 0.535 0.087
O 0.913 0.306 0.465

## Properties
Formation energy without anion corrections   -2.171 eV/atom



# 2
A relaxed PrPuGaRh crystal, computed with PBE.

abc: 5.066 5.066 5.066
angles: 60.00 60.00 60.00
Fractional coordinates of all 4 atoms:
Pr 0.000 0.000 0.000
Pu 0.500 0.500 0.500
Ga 0.250 0.250 0.250
Rh 0.750 0.750 0.750

## Properties
Formation energy from the elements   -0.36 eV/atom



# 3
A relaxed RbGa3As crystal, computed with PBE.

abc: 5.284 5.284 5.284
angles: 90.00 90.00 90.00
Fractional coordinates of all 5 atoms:
Rb 0.000 0.000 0.000
Ga 0.000 0.500 0.500
Ga 0.500 0.000 0.500
Ga 0.500 0.500 0.000
As 0.500 0.500 0.500

## Properties
Distance to the lowest polymorph of the same formula   0.00 eV/f.u.
Formation energy from the elements   0.26 eV/atom



# 4
A relaxed AcPm4Cd crystal, computed with PBE.

abc: 8.369 8.369 9.335
angles: 90.00 90.00 139.53
Fractional coordinates of all 12 atoms:
Ac 0.132 0.868 0.500
Ac 0.868 0.132 0.000
Pm 0.090 0.910 0.122
Pm 0.255 0.745 0.841
Pm 0.334 0.666 0.192
Pm 0.478 0.522 0.867
Pm 0.522 0.478 0.367
Pm 0.666 0.334 0.692
Pm 0.745 0.255 0.341
Pm 0.910 0.090 0.622
Cd 0.342 0.658 0.538
Cd 0.658 0.342 0.038

## Properties
Distance to the lowest polymorph of the same formula   1.32 eV/f.u.
Formation energy from the elements   0.13 eV/atom



| no. | total magnetization (μB/f.u.) |
| --- | --- |
| 1 | 0.000 |
| 2 | 5.401 |
| 3 | 0.000 |
| 4 | 0.000 |